1.
Entry from Alexandria via LeMat-Bulk: a relaxed Sr5Tl3I12 crystal (GGA-PBE). Values from VASP.

Output
ΔE_f (raw) in eV per atom: -1.248
Fermi-level density of states in states/eV/f.u.: 7.1

```
&SYSTEM
  ibrav = 0, nat = 80, ntyp = 3
/
ATOMIC_SPECIES
Sr 87.62 Sr.upf
Tl 204.38 Tl.upf
I 126.90 I.upf
CELL_PARAMETERS angstrom
-10.148 10.148 10.148
10.148 -10.148 10.148
10.148 10.148 -10.148
ATOMIC_POSITIONS crystal
Sr 0.000 0.000 0.000
Sr 0.000 0.000 0.500
Sr 0.000 0.500 0.000
Sr 0.000 0.500 0.500
Sr 0.125 0.750 0.875
Sr 0.125 0.875 0.250
Sr 0.250 0.125 0.875
Sr 0.250 0.625 0.375
Sr 0.375 0.250 0.625
Sr 0.375 0.625 0.750
Sr 0.500 0.000 0.000
Sr 0.500 0.000 0.500
Sr 0.500 0.500 0.000
Sr 0.500 0.500 0.500
Sr 0.625 0.375 0.250
Sr 0.625 0.750 0.375
Sr 0.750 0.375 0.625
Sr 0.750 0.875 0.125
Sr 0.875 0.125 0.750
Sr 0.875 0.250 0.125
Tl 0.125 0.250 0.375
Tl 0.125 0.375 0.750
Tl 0.250 0.375 0.125
Tl 0.250 0.875 0.625
Tl 0.375 0.125 0.250
Tl 0.375 0.750 0.125
Tl 0.625 0.250 0.875
Tl 0.625 0.875 0.750
Tl 0.750 0.125 0.375
Tl 0.750 0.625 0.875
Tl 0.875 0.625 0.250
Tl 0.875 0.750 0.625
I 0.038 0.212 0.122
I 0.038 0.326 0.916
I 0.084 0.622 0.410
I 0.084 0.962 0.674
I 0.090 0.712 0.674
I 0.090 0.878 0.416
I 0.122 0.038 0.212
I 0.122 0.584 0.910
I 0.174 0.212 0.590
I 0.174 0.462 0.584
I 0.212 0.122 0.038
I 0.212 0.590 0.174
I 0.288 0.326 0.910
I 0.288 0.462 0.378
I 0.326 0.910 0.288
I 0.326 0.916 0.038
I 0.378 0.288 0.462
I 0.378 0.590 0.916
I 0.410 0.084 0.622
I 0.410 0.826 0.788
I 0.416 0.090 0.878
I 0.416 0.826 0.538
I 0.462 0.378 0.288
I 0.462 0.584 0.174
I 0.538 0.416 0.826
I 0.538 0.622 0.712
I 0.584 0.174 0.462
I 0.584 0.910 0.122
I 0.590 0.174 0.212
I 0.590 0.916 0.378
I 0.622 0.410 0.084
I 0.622 0.712 0.538
I 0.674 0.084 0.962
I 0.674 0.090 0.712
I 0.712 0.538 0.622
I 0.712 0.674 0.090
I 0.788 0.410 0.826
I 0.788 0.878 0.962
I 0.826 0.538 0.416
I 0.826 0.788 0.410
I 0.878 0.416 0.090
I 0.878 0.962 0.788
I 0.910 0.122 0.584
I 0.910 0.288 0.326
I 0.916 0.038 0.326
I 0.916 0.378 0.590
I 0.962 0.674 0.084
I 0.962 0.788 0.878
```

2.
Entry from Alexandria via LeMat-Bulk: a relaxed SrTlI2 crystal (GGA-PBE). Values from VASP.

Output
ΔE_f (raw) in eV per atom: -0.906
Fermi-level density of states in states/eV/f.u.: 0.4

```
&SYSTEM
  ibrav = 0, nat = 8, ntyp = 3
/
ATOMIC_SPECIES
Sr 87.62 Sr.upf
Tl 204.38 Tl.upf
I 126.90 I.upf
CELL_PARAMETERS angstrom
-4.681 4.681 4.067
4.681 -4.681 4.067
4.681 4.681 -4.067
ATOMIC_POSITIONS crystal
Sr 0.000 0.000 0.000
Sr 0.750 0.250 0.500
Tl 0.250 0.750 0.500
Tl 0.500 0.500 0.000
I 0.093 0.125 0.468
I 0.375 0.907 0.032
I 0.657 0.625 0.532
I 0.875 0.343 0.968
```

3.
Entry from Alexandria via LeMat-Bulk: a relaxed Sr5TlI5 crystal (GGA-PBE). Values from VASP.

Output
ΔE_f (raw) in eV per atom: -1.235
Fermi-level density of states in states/eV/f.u.: 0.1

```
&SYSTEM
  ibrav = 0, nat = 11, ntyp = 3
/
ATOMIC_SPECIES
Sr 87.62 Sr.upf
Tl 204.38 Tl.upf
I 126.90 I.upf
CELL_PARAMETERS angstrom
8.051 -3.335 0.000
8.051 3.335 0.000
-3.105 0.000 9.266
ATOMIC_POSITIONS crystal
Sr 0.000 0.000 0.000
Sr 0.353 0.353 0.693
Sr 0.356 0.356 0.159
Sr 0.644 0.644 0.841
Sr 0.647 0.647 0.307
Tl 0.500 0.500 0.000
I 0.180 0.180 0.839
I 0.201 0.201 0.344
I 0.500 0.500 0.500
I 0.799 0.799 0.656
I 0.820 0.820 0.161
```

4.
Entry from Alexandria via LeMat-Bulk: a relaxed Sr2Tl3I7 crystal (GGA-PBE). Values from VASP.

Output
ΔE_f (raw) in eV per atom: -1.170
Fermi-level density of states in states/eV/f.u.: 0.0

```
&SYSTEM
  ibrav = 0, nat = 24, ntyp = 3
/
ATOMIC_SPECIES
Sr 87.62 Sr.upf
Tl 204.38 Tl.upf
I 126.90 I.upf
CELL_PARAMETERS angstrom
14.747 -4.193 0.000
14.747 4.193 0.000
0.000 0.000 9.168
ATOMIC_POSITIONS crystal
Sr 0.146 0.647 0.500
Sr 0.353 0.854 0.500
Sr 0.647 0.146 0.000
Sr 0.854 0.353 0.000
Tl 0.059 0.562 0.099
Tl 0.222 0.778 0.906
Tl 0.438 0.941 0.099
Tl 0.562 0.059 0.599
Tl 0.778 0.222 0.406
Tl 0.941 0.438 0.599
I 0.003 0.147 0.687
I 0.087 0.327 0.957
I 0.147 0.003 0.187
I 0.300 0.443 0.810
I 0.327 0.087 0.457
I 0.391 0.609 0.547
I 0.443 0.300 0.310
I 0.557 0.700 0.810
I 0.609 0.391 0.047
I 0.673 0.913 0.957
I 0.700 0.557 0.310
I 0.853 0.997 0.687
I 0.913 0.673 0.457
I 0.997 0.853 0.187
```

5.
Entry from Alexandria via LeMat-Bulk: a relaxed Sr3Tl5I12 crystal (GGA-PBE). Values from VASP.

Output
ΔE_f (raw) in eV per atom: -1.058
Fermi-level density of states in states/eV/f.u.: 26.1

```
&SYSTEM
  ibrav = 0, nat = 20, ntyp = 3
/
ATOMIC_SPECIES
Sr 87.62 Sr.upf
Tl 204.38 Tl.upf
I 126.90 I.upf
CELL_PARAMETERS angstrom
14.538 0.000 0.000
-7.269 12.591 0.000
0.000 0.000 4.887
ATOMIC_POSITIONS crystal
Sr 0.000 0.681 0.000
Sr 0.319 0.319 0.000
Sr 0.681 0.000 0.000
Tl 0.000 0.294 0.500
Tl 0.294 0.000 0.500
Tl 0.333 0.667 0.500
Tl 0.667 0.333 0.500
Tl 0.706 0.706 0.500
I 0.000 0.532 0.500
I 0.000 0.832 0.500
I 0.168 0.168 0.500
I 0.192 0.453 0.000
I 0.261 0.808 0.000
I 0.453 0.192 0.000
I 0.468 0.468 0.500
I 0.532 0.000 0.500
I 0.547 0.739 0.000
I 0.739 0.547 0.000
I 0.808 0.261 0.000
I 0.832 0.000 0.500
```

6.
Entry from Alexandria via LeMat-Bulk: a relaxed Sr2Tl2I crystal (GGA-PBE). Values from VASP.

Output
ΔE_f (raw) in eV per atom: -0.565
Fermi-level density of states in states/eV/f.u.: 5.0

```
&SYSTEM
  ibrav = 0, nat = 10, ntyp = 3
/
ATOMIC_SPECIES
Sr 87.62 Sr.upf
Tl 204.38 Tl.upf
I 126.90 I.upf
CELL_PARAMETERS angstrom
9.397 0.000 0.000
0.000 9.397 0.000
0.000 0.000 4.416
ATOMIC_POSITIONS crystal
Sr 0.185 0.315 0.000
Sr 0.315 0.815 0.000
Sr 0.685 0.185 0.000
Sr 0.815 0.685 0.000
Tl 0.114 0.614 0.500
Tl 0.386 0.114 0.500
Tl 0.614 0.886 0.500
Tl 0.886 0.386 0.500
I 0.000 0.000 0.000
I 0.500 0.500 0.000
```